Entry from the Alexandria database: CsHg3W after structural relaxation (GGA-PBE).

Cell and atoms, written as CIF:
```
data_CsHg3W
_chemical_formula_sum 'Cs1 Hg3 W1'
_symmetry_space_group_name_H-M 'P m -3 m'
_symmetry_Int_Tables_number 221
_symmetry_space_group_name_Hall '-P 4 2 3'
_cell_length_a 5.5290
_cell_length_b 5.5290
_cell_length_c 5.5290
_cell_angle_alpha 90.00
_cell_angle_beta 90.00
_cell_angle_gamma 90.00
loop_
_atom_site_label
_atom_site_type_symbol
_atom_site_fract_x
_atom_site_fract_y
_atom_site_fract_z
_atom_site_occupancy
Cs1 Cs 0.0000 0.0000 0.0000 1
Hg1 Hg 0.0000 0.5000 0.5000 1
W1 W 0.5000 0.5000 0.5000 1
```

Calculated values
N(E_F) = 4.08 states/eV per cell
raw total energy = -0.08737 hartree per atom